Entry 1:
# InSb3Pb4O13

An optimized crystal structure of InSb3Pb4O13 (PBE-GGA, Alexandria via LeMat-Bulk).

POSCAR file:
```
InSb3Pb4O13
1.0
7.590 0.005 0.004
3.761 6.593 0.004
3.761 2.186 6.220
O Sb In Pb
13 3 1 4
Direct
0.184 0.184 0.577
0.818 0.422 0.818
0.422 0.818 0.818
0.580 0.580 0.156
0.818 0.818 0.422
0.577 0.184 0.184
0.418 0.847 0.418
0.847 0.418 0.418
0.156 0.580 0.580
0.418 0.418 0.847
0.184 0.577 0.184
0.580 0.156 0.580
0.122 0.122 0.122
0.500 0.001 0.500
0.001 0.500 0.500
0.500 0.500 0.001
0.500 0.500 0.500
0.500 0.001 0.001
0.001 0.001 0.500
0.998 0.998 0.998
0.001 0.500 0.001
```

Calculated values
ρ ... 8.10 Mg/m³
ΔE_f (raw) ... -1.406 eV per atom
Volume ... 311 Å³ per cell
Calculated total energy ... -5.90 eV/atom

Entry 2:
# YTaTc2

An optimized crystal structure of YTaTc2 (PBE-GGA, Alexandria via LeMat-Bulk).

POSCAR file:
```
YTaTc2
1.0
4.566 0.000 0.000
0.000 2.978 -0.009
0.000 1.212 5.325
Tc Y Ta
2 1 1
Direct
0.000 0.994 0.995
0.500 0.245 0.235
0.000 0.493 0.489
0.500 0.768 0.781
```

Calculated values
ρ ... 10.68 Mg/m³
Energy of formation from the pure elements ... 71 kJ/mol of formula units
Volume ... 72 Å³ per cell
Calculated total energy ... -9.58 eV/atom

Entry 3:
# KPmAsO4

An optimized crystal structure of KPmAsO4 (PBE-GGA, Alexandria via LeMat-Bulk).

POSCAR file:
```
KPmAsO4
1.0
6.491 0.000 0.000
3.245 5.959 -0.051
3.245 1.766 5.691
Pm O As K
2 8 2 2
Direct
0.000 0.500 0.500
0.000 0.000 0.000
0.252 0.295 0.200
0.748 0.300 0.205
0.773 0.729 0.229
0.252 0.700 0.795
0.270 0.729 0.229
0.748 0.705 0.800
0.730 0.271 0.771
0.227 0.271 0.771
0.638 0.612 0.112
0.362 0.388 0.888
0.500 0.000 0.500
0.000 0.000 0.500
```

Calculated values
ρ ... 4.86 Mg/m³
ΔE_f (raw) ... -1.866 eV per atom
Volume ... 221 Å³ per cell
Calculated total energy ... -6.20 eV/atom

Entry 4:
# Rb3Er3ScS8

An optimized crystal structure of Rb3Er3ScS8 (PBE-GGA, Alexandria via LeMat-Bulk).

POSCAR file:
```
Rb3Er3ScS8
1.0
7.892 0.001 0.000
-3.946 6.838 -0.029
0.000 -4.530 7.856
S Er Rb Sc
8 3 3 1
Direct
0.730 0.461 0.691
0.777 0.555 0.317
0.778 0.039 0.317
0.270 0.539 0.309
0.738 0.961 0.683
0.223 0.445 0.683
0.222 0.961 0.683
0.262 0.039 0.317
0.500 0.500 0.500
0.000 0.500 0.500
0.500 0.000 0.500
0.000 0.500 0.000
0.000 0.000 0.000
0.500 0.500 0.000
0.000 0.000 0.500
```

Calculated values
ρ ... 4.16 Mg/m³
ΔE_f (raw) ... -1.747 eV per atom
Volume ... 423 Å³ per cell
Calculated total energy ... -5.48 eV/atom

Entry 5:
# Nd2Ga4Ni3Au

An optimized crystal structure of Nd2Ga4Ni3Au (PBE-GGA, Alexandria via LeMat-Bulk).

POSCAR file:
```
Nd2Ga4Ni3Au
1.0
-0.198 1.833 -3.742
-4.093 0.619 0.520
1.943 9.162 4.386
Ga Nd Ni Au
4 2 3 1
Direct
0.000 0.500 0.356
0.500 0.000 0.644
0.500 0.500 0.000
0.000 0.000 0.000
0.500 0.000 0.238
0.000 0.500 0.762
0.000 0.500 0.126
0.000 0.000 0.500
0.500 0.000 0.874
0.500 0.500 0.500
```

Calculated values
ρ ... 8.68 Mg/m³
Energy of formation from the pure elements ... -554 kJ/mol of formula units
Volume ... 180 Å³ per cell
Calculated total energy ... -4.80 eV/atom

Entry 6:
# Sc4InRu

An optimized crystal structure of Sc4InRu (PBE-GGA, Alexandria via LeMat-Bulk).

POSCAR file:
```
Sc4InRu
1.0
0.000 3.957 3.957
3.957 0.000 3.957
3.957 3.957 0.000
Sc In Ru
4 1 1
Direct
0.373 0.373 0.881
0.373 0.881 0.373
0.881 0.373 0.373
0.373 0.373 0.373
0.750 0.750 0.750
0.000 0.000 0.000
```

Calculated values
ρ ... 5.30 Mg/m³
Energy of formation from the pure elements ... 158 kJ/mol of formula units
Relative energy among the computed polymorphs ... 477 meV per atom
Volume ... 124 Å³ per cell
Calculated total energy ... -5.95 eV/atom

Entry 7:
# CrReHg2

An optimized crystal structure of CrReHg2 (PBE-GGA, Alexandria via LeMat-Bulk).

POSCAR file:
```
CrReHg2
1.0
3.064 0.000 0.000
0.000 4.841 0.000
0.000 0.000 4.857
Hg Cr Re
2 1 1
Direct
0.000 0.000 0.000
0.500 0.500 0.000
0.000 0.500 0.500
0.500 0.000 0.500
```

Calculated values
ρ ... 14.74 Mg/m³
Energy of formation from the pure elements ... 334 kJ/mol of formula units
Relative energy among the computed polymorphs ... 437 meV per atom
Volume ... 72 Å³ per cell
Calculated total energy ... -4.80 eV/atom

Entry 8:
# Pr3Ho6Tm2Th

An optimized crystal structure of Pr3Ho6Tm2Th (PBE-GGA, Alexandria via LeMat-Bulk).

POSCAR file:
```
Pr3Ho6Tm2Th
1.0
6.188 -0.001 0.007
-3.093 5.359 0.007
-1.048 -1.815 11.629
Pr Ho Tm Th
3 6 2 1
Direct
0.500 0.500 0.500
0.167 0.833 0.500
0.833 0.167 0.500
0.412 0.082 0.245
0.588 0.918 0.755
0.752 0.752 0.245
0.082 0.412 0.245
0.248 0.248 0.755
0.918 0.588 0.755
0.667 0.333 0.000
0.333 0.667 0.000
0.000 0.000 0.000
```

Calculated values
ρ ... 8.53 Mg/m³
Energy of formation from the pure elements ... 25 kJ/mol of formula units
Volume ... 386 Å³ per cell
Calculated total energy ... -4.83 eV/atom

Entry 9:
# Cs5As5Se9

An optimized crystal structure of Cs5As5Se9 (PBE-GGA, Alexandria via LeMat-Bulk).

POSCAR file:
```
Cs5As5Se9
1.0
-4.781 0.651 6.609
4.081 -11.459 4.080
20.542 12.179 13.660
Cs Se As
20 36 20
Direct
0.465 0.637 0.750
0.035 0.137 0.250
0.478 0.279 0.851
0.535 0.363 0.250
0.049 0.138 0.056
0.022 0.779 0.149
0.951 0.862 0.944
0.522 0.721 0.149
0.451 0.638 0.556
0.022 0.779 0.351
0.049 0.138 0.444
0.965 0.863 0.750
0.451 0.638 0.944
0.951 0.862 0.556
0.549 0.362 0.056
0.478 0.279 0.649
0.522 0.721 0.351
0.549 0.362 0.444
0.978 0.221 0.649
0.978 0.221 0.851
0.279 0.816 0.655
0.737 0.135 0.545
0.779 0.684 0.655
0.196 0.552 0.082
0.304 0.052 0.918
0.237 0.365 0.545
0.221 0.316 0.155
0.617 0.014 0.687
0.196 0.552 0.418
0.237 0.365 0.955
0.804 0.448 0.582
0.741 0.364 0.750
0.383 0.986 0.313
0.617 0.014 0.813
0.383 0.986 0.187
0.759 0.864 0.250
0.263 0.865 0.455
0.763 0.635 0.455
0.221 0.316 0.345
0.804 0.448 0.918
0.304 0.052 0.582
0.779 0.684 0.845
0.279 0.816 0.845
0.721 0.184 0.155
0.117 0.486 0.687
0.263 0.865 0.045
0.696 0.948 0.082
0.883 0.514 0.313
0.883 0.514 0.187
0.721 0.184 0.345
0.117 0.486 0.813
0.763 0.635 0.045
0.696 0.948 0.418
0.241 0.136 0.750
0.259 0.636 0.250
0.737 0.135 0.955
0.479 0.095 0.988
0.596 0.016 0.250
0.521 0.905 0.012
0.518 0.082 0.381
0.021 0.595 0.012
0.018 0.418 0.381
0.518 0.082 0.119
0.021 0.595 0.488
0.404 0.984 0.750
0.096 0.484 0.250
0.979 0.405 0.988
0.482 0.918 0.619
0.982 0.582 0.881
0.904 0.516 0.750
0.018 0.418 0.119
0.982 0.582 0.619
0.979 0.405 0.512
0.521 0.905 0.488
0.482 0.918 0.881
0.479 0.095 0.512
```

Calculated values
ρ ... 4.02 Mg/m³
ΔE_f (raw) ... -0.666 eV per atom
Volume ... 2888 Å³ per cell
Calculated total energy ... -3.77 eV/atom

Entry 10:
# LaSm2Ga2Pt7

An optimized crystal structure of LaSm2Ga2Pt7 (PBE-GGA, Alexandria via LeMat-Bulk).

POSCAR file:
```
LaSm2Ga2Pt7
1.0
-2.277 -3.278 1.043
0.582 -1.659 -3.732
10.957 -8.434 3.700
Pt Sm La Ga
7 2 1 2
Direct
0.439 0.939 0.160
0.939 0.439 0.160
0.635 0.635 0.568
0.500 0.500 0.000
0.561 0.061 0.840
0.061 0.561 0.840
0.365 0.365 0.432
0.880 0.880 0.361
0.120 0.120 0.639
0.000 0.000 0.000
0.599 0.599 0.741
0.401 0.401 0.259
```

Calculated values
ρ ... 13.42 Mg/m³
Energy of formation from the pure elements ... -1075 kJ/mol of formula units
Volume ... 241 Å³ per cell
Calculated total energy ... -6.15 eV/atom

Entry 11:
# PPbSe2

An optimized crystal structure of PPbSe2 (PBE-GGA, Alexandria via LeMat-Bulk).

POSCAR file:
```
PPbSe2
1.0
1.654 5.394 3.462
-3.786 4.081 3.581
1.498 -6.324 -1.256
Se P Pb
2 1 1
Direct
0.250 0.750 0.500
0.750 0.250 0.500
0.500 0.500 0.000
0.000 0.000 0.000
```

Calculated values
ρ ... 7.00 Mg/m³
ΔE_f (raw) ... 0.402 eV per atom
Relative energy among the computed polymorphs ... 531 meV per atom
Volume ... 94 Å³ per cell
Calculated total energy ... -3.62 eV/atom

Entry 12:
# Li3Ag2Hg4

An optimized crystal structure of Li3Ag2Hg4 (PBE-GGA, Alexandria via LeMat-Bulk).

POSCAR file:
```
Li3Ag2Hg4
1.0
-2.151 3.530 -1.451
-1.427 -1.762 4.444
4.877 5.211 5.444
Ag Li Hg
2 3 4
Direct
0.678 0.356 0.768
0.322 0.644 0.232
0.000 0.000 0.000
0.665 0.330 0.435
0.335 0.670 0.565
0.017 0.035 0.659
0.983 0.965 0.341
0.341 0.682 0.891
0.659 0.318 0.109
```

Calculated values
ρ ... 9.99 Mg/m³
Energy of formation from the pure elements ... -188 kJ/mol of formula units
Relative energy among the computed polymorphs ... 14 meV per atom
Volume ... 173 Å³ per cell
Calculated total energy ... -1.62 eV/atom

Entry 13:
# Li3Ge2Pd5

An optimized crystal structure of Li3Ge2Pd5 (PBE-GGA, Alexandria via LeMat-Bulk).

POSCAR file:
```
Li3Ge2Pd5
1.0
-4.024 3.247 1.807
-0.720 -0.958 8.419
3.146 7.790 1.311
Ge Pd Li
4 10 6
Direct
0.644 0.001 0.711
0.144 0.711 0.001
0.356 0.999 0.289
0.856 0.289 0.999
0.750 0.500 0.500
0.491 0.759 0.759
0.367 0.795 0.472
0.133 0.528 0.205
0.991 0.759 0.759
0.509 0.241 0.241
0.250 0.500 0.500
0.867 0.472 0.795
0.633 0.205 0.528
0.009 0.241 0.241
0.395 0.396 0.814
0.895 0.814 0.396
0.750 0.000 0.000
0.105 0.186 0.604
0.605 0.604 0.186
0.250 0.000 0.000
```

Calculated values
ρ ... 6.56 Mg/m³
Energy of formation from the pure elements ... -234 kJ/mol of formula units
Volume ... 353 Å³ per cell
Calculated total energy ... -4.34 eV/atom

Entry 14:
# PmTl2Rh

An optimized crystal structure of PmTl2Rh (PBE-GGA, Alexandria via LeMat-Bulk).

POSCAR file:
```
PmTl2Rh
1.0
-1.457 2.077 -2.258
-3.026 -0.788 -1.327
-6.276 5.597 6.641
Rh Tl Pm
1 2 1
Direct
0.500 0.500 0.500
0.102 0.102 0.693
0.898 0.898 0.307
0.000 0.000 0.000
```

Calculated values
ρ ... 10.36 Mg/m³
Energy of formation from the pure elements ... 81 kJ/mol of formula units
Relative energy among the computed polymorphs ... 576 meV per atom
Volume ... 105 Å³ per cell
Calculated total energy ... -4.00 eV/atom

Entry 15:
# CsCePdI6

An optimized crystal structure of CsCePdI6 (PBE-GGA, Alexandria via LeMat-Bulk).

POSCAR file:
```
CsCePdI6
1.0
-7.470 -3.080 -2.275
-4.676 -3.453 4.542
-5.225 7.109 1.526
I Ce Pd Cs
6 1 1 1
Direct
0.349 0.043 0.696
0.980 0.663 0.655
0.636 0.375 0.777
0.608 0.043 0.304
0.357 0.663 0.345
0.989 0.375 0.223
0.688 0.624 0.500
0.323 0.354 0.500
0.071 0.859 0.000
```

Calculated values
ρ ... 4.23 Mg/m³
ΔE_f (raw) ... -0.989 eV per atom
Volume ... 448 Å³ per cell
Calculated total energy ... -3.35 eV/atom

Entry 16:
# LaCe3O4

An optimized crystal structure of LaCe3O4 (PBE-GGA, Alexandria via LeMat-Bulk).

POSCAR file:
```
LaCe3O4
1.0
-4.547 0.262 -2.122
2.100 -0.395 -4.548
-0.404 -5.002 0.248
O Ce La
4 3 1
Direct
0.500 0.000 0.000
0.500 0.500 0.500
0.000 0.500 0.000
0.000 0.000 0.500
0.500 0.500 0.000
0.500 0.000 0.500
0.000 0.500 0.500
0.000 0.000 0.000
```

Calculated values
ρ ... 8.16 Mg/m³
ΔE_f (raw) ... -2.867 eV per atom
Volume ... 127 Å³ per cell
Calculated total energy ... -8.19 eV/atom

Entry 17:
# SrZnGa2Au

An optimized crystal structure of SrZnGa2Au (PBE-GGA, Alexandria via LeMat-Bulk).

POSCAR file:
```
SrZnGa2Au
1.0
4.470 0.000 0.000
0.000 4.470 0.000
-2.235 -2.235 5.382
Zn Au Ga Sr
1 1 2 1
Direct
0.250 0.750 0.500
0.750 0.250 0.500
0.379 0.379 0.759
0.621 0.621 0.241
0.000 0.000 0.000
```

Calculated values
ρ ... 7.56 Mg/m³
Energy of formation from the pure elements ... -223 kJ/mol of formula units
Volume ... 108 Å³ per cell
Calculated total energy ... -2.92 eV/atom

Entry 18:
# Mn2CoHg

An optimized crystal structure of Mn2CoHg (PBE-GGA, Alexandria via LeMat-Bulk).

POSCAR file:
```
Mn2CoHg
1.0
8.704 -0.134 -0.079
8.267 2.727 -0.079
8.267 1.263 2.418
Mn Hg Co
2 1 1
Direct
0.511 0.511 0.511
0.989 0.989 0.989
0.750 0.750 0.750
0.250 0.250 0.250
```

Calculated values
ρ ... 9.90 Mg/m³
Energy of formation from the pure elements ... 142 kJ/mol of formula units
Volume ... 62 Å³ per cell
Calculated total energy ... -6.07 eV/atom

Entry 19:
# Rb2SnIr

An optimized crystal structure of Rb2SnIr (PBE-GGA, Alexandria via LeMat-Bulk).

POSCAR file:
```
Rb2SnIr
1.0
-12.388 -1.544 2.847
-1.932 -5.512 -11.394
-6.647 -5.786 -3.268
Rb Ir Sn
4 2 2
Direct
0.375 0.186 0.750
0.814 0.125 0.250
0.936 0.625 0.250
0.875 0.064 0.750
0.750 0.250 0.500
0.000 0.000 0.000
0.250 0.750 0.500
0.500 0.500 0.000
```

Calculated values
ρ ... 3.87 Mg/m³
Energy of formation from the pure elements ... 104 kJ/mol of formula units
Volume ... 414 Å³ per cell
Calculated total energy ... -3.43 eV/atom